[1]
# Th8Co2Au | Alexandria via LeMat-Bulk | GGA-PBE | optimized geometry
data_Th8Co2Au
_cell_length_a 19.315
_cell_length_b 3.721
_cell_length_c 8.564
_cell_angle_alpha 90.00
_cell_angle_beta 91.67
_cell_angle_gamma 90.00
_symmetry_space_group_name_H-M 'C 1 2/m 1'
_symmetry_Int_Tables_number 12
loop_
_symmetry_equiv_pos_as_xyz
'x,y,z'
'-x,-y,-z'
'-x,y,-z'
'x,-y,z'
'x+1/2,y+1/2,z'
'-x+1/2,-y+1/2,-z'
'-x+1/2,y+1/2,-z'
'x+1/2,-y+1/2,z'
loop_
_atom_site_label
_atom_site_type_symbol
_atom_site_fract_x
_atom_site_fract_y
_atom_site_fract_z
Th1 Th 0.037 0.000 0.266
Th2 Th 0.103 0.500 0.581
Th3 Th 0.163 0.500 0.992
Th4 Th 0.217 0.000 0.346
Co1 Co 0.197 0.000 0.772
Au1 Au 0.000 0.500 0.000
# M_tot: 0.00 μB per formula unit
# D(E_F): 1.21 states/eV/atom
# DFT formation energy: -0.16 eV/atom
# crystal system: monoclinic

[2]
# MoC2Br | Alexandria via LeMat-Bulk | GGA-PBE | optimized geometry
data_MoC2Br
_cell_length_a 5.688
_cell_length_b 5.688
_cell_length_c 5.688
_cell_angle_alpha 90.00
_cell_angle_beta 90.00
_cell_angle_gamma 90.00
_symmetry_space_group_name_H-M 'F m -3 m'
_symmetry_Int_Tables_number 225
_symmetry_space_group_name_Hall '-F 4 2 3'
loop_
_atom_site_label
_atom_site_type_symbol
_atom_site_fract_x
_atom_site_fract_y
_atom_site_fract_z
Mo1 Mo 0.000 0.000 0.000
C1 C 0.250 0.250 0.250
Br1 Br 0.000 0.000 0.500
# formation energy (no corrections): 2.60 eV per atom
# M_tot: 0.00 μB per formula unit
# D(E_F): 0.91 states/eV/atom
# crystal system: cubic

[3]
# Cu2SiSe3 | Alexandria via LeMat-Bulk | GGA-PBE | optimized geometry
data_Cu2SiSe3
_cell_length_a 6.744
_cell_length_b 6.766
_cell_length_c 6.808
_cell_angle_alpha 80.92
_cell_angle_beta 60.33
_cell_angle_gamma 71.40
_symmetry_space_group_name_H-M 'P 1'
_symmetry_Int_Tables_number 1
loop_
_symmetry_equiv_pos_as_xyz
'x,y,z'
loop_
_atom_site_label
_atom_site_type_symbol
_atom_site_fract_x
_atom_site_fract_y
_atom_site_fract_z
Cu1 Cu 0.000 0.000 0.000
Cu2 Cu 0.156 0.503 0.663
Cu3 Cu 0.330 0.002 0.318
Cu4 Cu 0.508 0.499 0.981
Si1 Si 0.686 0.978 0.660
Si2 Si 0.855 0.478 0.321
Se1 Se 0.043 0.879 0.661
Se2 Se 0.213 0.379 0.320
Se3 Se 0.391 0.875 0.975
Se4 Se 0.552 0.358 0.648
Se5 Se 0.711 0.858 0.332
Se6 Se 0.875 0.375 0.006
# formation energy (no corrections): -0.29 eV per atom
# M_tot: 0.00 μB per formula unit
# D(E_F): 0.00 states/eV/atom
# crystal system: triclinic